## SrGe6Se8 (PBE)

Data for an optimized crystal structure of SrGe6Se8.

Structure (CIF):
```
data_SrGe6Se8
_chemical_formula_sum 'Sr3 Ge18 Se24'
_cell_length_a 9.9193
_cell_length_b 9.9193
_cell_length_c 14.6619
_cell_angle_alpha 90.00
_cell_angle_beta 90.00
_cell_angle_gamma 120.00
_symmetry_space_group_name_H-M 'R -3'
_symmetry_Int_Tables_number 148
_symmetry_space_group_name_Hall '-R 3'
loop_
_atom_site_label
_atom_site_type_symbol
_atom_site_fract_x
_atom_site_fract_y
_atom_site_fract_z
_atom_site_occupancy
Sr1 Sr 0.0000 0.0000 0.0000 1
Ge1 Ge 0.0197 0.7910 0.6213 1
Se1 Se 0.0000 0.0000 0.2824 1
Se2 Se 0.0253 0.7239 0.0913 1
```

Total moment = 0.0 μB/f.u.
D(E_F) = 24.42 states/eV per cell
Theoretical density = 4.61 g/cm³
Formation energy from raw total energies = -0.38 eV/atom
Calculated volume = 416 Å³/f.u.


## La5Nd12Tm2 (PBE)

Data for an optimized crystal structure of La5Nd12Tm2.

Structure (CIF):
```
data_La5Nd12Tm2
_chemical_formula_sum 'La10 Nd24 Tm4'
_cell_length_a 5.2701
_cell_length_b 10.4893
_cell_length_c 24.8798
_cell_angle_alpha 90.00
_cell_angle_beta 90.00
_cell_angle_gamma 90.00
_symmetry_space_group_name_H-M 'I m m m'
_symmetry_Int_Tables_number 71
_symmetry_space_group_name_Hall '-I 2 2'
loop_
_atom_site_label
_atom_site_type_symbol
_atom_site_fract_x
_atom_site_fract_y
_atom_site_fract_z
_atom_site_occupancy
La1 La 0.0000 0.0000 0.0000 1
La2 La 0.0000 0.0000 0.1984 1
La3 La 0.0000 0.5000 0.1976 1
Nd1 Nd 0.0000 0.0000 0.4097 1
Nd2 Nd 0.0000 0.2443 0.3044 1
Nd3 Nd 0.0000 0.2587 0.0930 1
Nd4 Nd 0.0000 0.5000 0.4004 1
Tm1 Tm 0.0000 0.2742 0.5000 1
```

Total moment = 0.0 μB/f.u.
Energy above the lowest structure with this stoichiometry = 0.000 eV/atom
D(E_F) = 65.88 states/eV per cell
DFT formation energy = 0.111 eV/atom
Theoretical density = 6.67 g/cm³
Calculated volume = 688 Å³/f.u.


## V6FeRe (PBE)

Data for an optimized crystal structure of V6FeRe.

Structure (CIF):
```
data_V6FeRe
_chemical_formula_sum 'V6 Fe1 Re1'
_cell_length_a 4.7357
_cell_length_b 4.7357
_cell_length_c 4.7357
_cell_angle_alpha 90.00
_cell_angle_beta 90.00
_cell_angle_gamma 90.00
_symmetry_space_group_name_H-M 'P m -3'
_symmetry_Int_Tables_number 200
_symmetry_space_group_name_Hall '-P 2 2 3'
loop_
_atom_site_label
_atom_site_type_symbol
_atom_site_fract_x
_atom_site_fract_y
_atom_site_fract_z
_atom_site_occupancy
V1 V 0.0000 0.2547 0.5000 1
Fe1 Fe 0.5000 0.5000 0.5000 1
Re1 Re 0.0000 0.0000 0.0000 1
```

Total moment = 0.0 μB/f.u.
Energy above the lowest structure with this stoichiometry = 0.034 eV/atom
D(E_F) = 8.47 states/eV per cell
DFT formation energy = -0.159 eV/atom
Theoretical density = 8.56 g/cm³
Calculated volume = 106 Å³/f.u.


## BaIn2Se (PBE)

Data for an optimized crystal structure of BaIn2Se.

Structure (CIF):
```
data_BaIn2Se
_chemical_formula_sum 'Ba1 In2 Se1'
_cell_length_a 4.4976
_cell_length_b 4.4976
_cell_length_c 7.6342
_cell_angle_alpha 90.00
_cell_angle_beta 90.00
_cell_angle_gamma 90.00
_symmetry_space_group_name_H-M 'P 4 m m'
_symmetry_Int_Tables_number 99
loop_
_symmetry_equiv_pos_as_xyz
'x,y,z'
'-y,x,z'
'-x,-y,z'
'y,-x,z'
'-x,y,z'
'y,x,z'
'x,-y,z'
'-y,-x,z'
loop_
_atom_site_label
_atom_site_type_symbol
_atom_site_fract_x
_atom_site_fract_y
_atom_site_fract_z
_atom_site_occupancy
Ba1 Ba 0.0000 0.0000 0.0000 1
In1 In 0.0000 0.0000 0.4913 1
In2 In 0.5000 0.5000 0.6119 1
Se1 Se 0.5000 0.5000 0.9857 1
```

Total moment = 0.0 μB/f.u.
D(E_F) = 2.19 states/eV per cell
Theoretical density = 4.79 g/cm³
Formation energy from raw total energies = -0.69 eV/atom
Calculated volume = 154 Å³/f.u.


## BaY2Ta (PBE)

Data for an optimized crystal structure of BaY2Ta.

Structure (CIF):
```
data_BaY2Ta
_chemical_formula_sum 'Ba2 Y4 Ta2'
_cell_length_a 10.8404
_cell_length_b 3.3415
_cell_length_c 7.2988
_cell_angle_alpha 90.00
_cell_angle_beta 94.43
_cell_angle_gamma 90.00
_symmetry_space_group_name_H-M 'C 1 m 1'
_symmetry_Int_Tables_number 8
loop_
_symmetry_equiv_pos_as_xyz
'x,y,z'
'x,-y,z'
'x+1/2,y+1/2,z'
'x+1/2,-y+1/2,z'
loop_
_atom_site_label
_atom_site_type_symbol
_atom_site_fract_x
_atom_site_fract_y
_atom_site_fract_z
_atom_site_occupancy
Ba1 Ba 0.0000 0.0000 0.0000 1
Y1 Y 0.2388 0.0000 0.6681 1
Y2 Y 0.4880 0.0000 0.4431 1
Ta1 Ta 0.2522 0.5000 0.3116 1
```

Total moment = 0.0 μB/f.u.
Energy above the lowest structure with this stoichiometry = 0.222 eV/atom
D(E_F) = 11.70 states/eV per cell
DFT formation energy = 0.601 eV/atom
Theoretical density = 6.25 g/cm³
Calculated volume = 132 Å³/f.u.


## TiAgPd5 (PBE)

Data for an optimized crystal structure of TiAgPd5.

Structure (CIF):
```
data_TiAgPd5
_chemical_formula_sum 'Ti4 Ag4 Pd20'
_cell_length_a 9.3559
_cell_length_b 5.4434
_cell_length_c 9.1764
_cell_angle_alpha 90.00
_cell_angle_beta 94.02
_cell_angle_gamma 90.00
_symmetry_space_group_name_H-M 'C 1 2/c 1'
_symmetry_Int_Tables_number 15
loop_
_symmetry_equiv_pos_as_xyz
'x,y,z'
'-x,-y,-z'
'-x,y,-z+1/2'
'x,-y,z+1/2'
'x+1/2,y+1/2,z'
'-x+1/2,-y+1/2,-z'
'-x+1/2,y+1/2,-z+1/2'
'x+1/2,-y+1/2,z+1/2'
loop_
_atom_site_label
_atom_site_type_symbol
_atom_site_fract_x
_atom_site_fract_y
_atom_site_fract_z
_atom_site_occupancy
Ti1 Ti 0.0000 0.1632 0.2500 1
Ag1 Ag 0.0000 0.5000 0.0000 1
Pd1 Pd 0.0000 0.2659 0.7500 1
Pd2 Pd 0.1468 0.0156 0.5070 1
Pd3 Pd 0.2166 0.3801 0.2291 1
```

Total moment = 0.0 μB/f.u.
Energy above the lowest structure with this stoichiometry = 0.031 eV/atom
D(E_F) = 8.96 states/eV per cell
DFT formation energy = -0.165 eV/atom
Theoretical density = 9.80 g/cm³
Calculated volume = 117 Å³/f.u.


## Li3B8C8 (PBE)

Data for an optimized crystal structure of Li3B8C8.

Structure (CIF):
```
data_Li3B8C8
_chemical_formula_sum 'Li6 B16 C16'
_cell_length_a 9.3453
_cell_length_b 5.3972
_cell_length_c 8.3536
_cell_angle_alpha 90.00
_cell_angle_beta 123.97
_cell_angle_gamma 90.00
_symmetry_space_group_name_H-M 'C 1 2/m 1'
_symmetry_Int_Tables_number 12
loop_
_symmetry_equiv_pos_as_xyz
'x,y,z'
'-x,-y,-z'
'-x,y,-z'
'x,-y,z'
'x+1/2,y+1/2,z'
'-x+1/2,-y+1/2,-z'
'-x+1/2,y+1/2,-z'
'x+1/2,-y+1/2,z'
loop_
_atom_site_label
_atom_site_type_symbol
_atom_site_fract_x
_atom_site_fract_y
_atom_site_fract_z
_atom_site_occupancy
Li1 Li 0.0000 0.0000 0.0000 1
Li2 Li 0.2500 0.2500 0.0000 1
B1 B 0.0457 0.2505 0.2576 1
B2 B 0.1908 0.5000 0.7147 1
B3 B 0.2053 0.0000 0.7429 1
C1 C 0.0337 0.5000 0.7336 1
C2 C 0.0492 0.0000 0.7650 1
C3 C 0.2164 0.2496 0.2657 1
```

Total moment = 0.0 μB/f.u.
Energy above the lowest structure with this stoichiometry = 0.108 eV/atom
D(E_F) = 9.00 states/eV per cell
DFT formation energy = 0.114 eV/atom
Theoretical density = 1.93 g/cm³
Calculated volume = 175 Å³/f.u.


## NdSmAs (PBE)

Data for an optimized crystal structure of NdSmAs.

Structure (CIF):
```
data_NdSmAs
_chemical_formula_sum 'Nd4 Sm4 As4'
_cell_length_a 7.0202
_cell_length_b 7.0202
_cell_length_c 7.0202
_cell_angle_alpha 90.00
_cell_angle_beta 90.00
_cell_angle_gamma 90.00
_symmetry_space_group_name_H-M 'F -4 3 m'
_symmetry_Int_Tables_number 216
_symmetry_space_group_name_Hall 'F -4 2 3'
loop_
_atom_site_label
_atom_site_type_symbol
_atom_site_fract_x
_atom_site_fract_y
_atom_site_fract_z
_atom_site_occupancy
Nd1 Nd 0.0000 0.0000 0.0000 1
Sm1 Sm 0.0000 0.0000 0.5000 1
As1 As 0.2500 0.2500 0.7500 1
```

Total moment = 0.0 μB/f.u.
D(E_F) = 8.37 states/eV per cell
DFT formation energy = -0.827 eV/atom
Theoretical density = 7.09 g/cm³
Calculated volume = 86 Å³/f.u.